1.
The following is a PBE calculation of a relaxed NaAcGd2 crystal, from Alexandria. Values from VASP.

Quantum ESPRESSO input file:
```
&SYSTEM
  ibrav = 0, nat = 4, ntyp = 3
/
ATOMIC_SPECIES
Na 22.99 Na.upf
Ac 227.00 Ac.upf
Gd 157.25 Gd.upf
CELL_PARAMETERS angstrom
1.8342 1.0590 13.0395
-1.8342 1.0590 13.0395
0.0000 -2.1179 13.0395
ATOMIC_POSITIONS crystal
Na 0.0000 0.0000 0.0000
Ac 0.5000 0.5000 0.5000
Gd 0.0905 0.0905 0.0905
Gd 0.9095 0.9095 0.9095
```

## Properties
- V: 152.0 Å³ per cell
- Fermi-level density of states: 6.7 states/eV/cell
- Formation energy: 204 meV/atom
- Calculated total energy: -8.193 eV per atom
- Space group: No. 166
- Magnetization: 3.80 μB/atom
- Energy relative to the lowest polymorph listed for this composition: 0.043 eV/atom

2.
The following is a PBE calculation of a relaxed Dy2Y15Sc2 crystal, from Alexandria. Values from VASP.

Quantum ESPRESSO input file:
```
&SYSTEM
  ibrav = 0, nat = 19, ntyp = 3
/
ATOMIC_SPECIES
Dy 162.50 Dy.upf
Y 88.91 Y.upf
Sc 44.96 Sc.upf
CELL_PARAMETERS angstrom
5.5502 3.2044 5.8861
-5.5502 3.2044 5.8861
0.0000 -6.4088 5.8861
ATOMIC_POSITIONS crystal
Dy 0.1816 0.1816 0.1816
Dy 0.8184 0.8184 0.8184
Y 0.0000 0.5000 0.5000
Y 0.1306 0.1306 0.6465
Y 0.1306 0.6465 0.1306
Y 0.2053 0.5000 0.7947
Y 0.2053 0.7947 0.5000
Y 0.3535 0.8694 0.8694
Y 0.5000 0.0000 0.5000
Y 0.5000 0.2053 0.7947
Y 0.5000 0.5000 0.0000
Y 0.5000 0.7947 0.2053
Y 0.6465 0.1306 0.1306
Y 0.7947 0.2053 0.5000
Y 0.7947 0.5000 0.2053
Y 0.8694 0.3535 0.8694
Y 0.8694 0.8694 0.3535
Sc 0.4101 0.4101 0.4101
Sc 0.5899 0.5899 0.5899
```

## Properties
- V: 628.1 Å³ per cell
- Fermi-level density of states: 36.6 states/eV/cell
- Formation energy: 305 meV/atom
- Calculated total energy: -5.949 eV per atom
- Space group: No. 166
- Magnetization: 0.00 μB/atom

3.
The following is a PBE calculation of a relaxed Co2Ni8Ge crystal, from Alexandria. Values from VASP.

Quantum ESPRESSO input file:
```
&SYSTEM
  ibrav = 0, nat = 11, ntyp = 3
/
ATOMIC_SPECIES
Co 58.93 Co.upf
Ni 58.69 Ni.upf
Ge 72.64 Ge.upf
CELL_PARAMETERS angstrom
3.1701 -5.6256 0.0000
3.1701 5.6256 0.0000
-2.1555 0.0000 3.6414
ATOMIC_POSITIONS crystal
Co 0.1945 0.8055 0.0000
Co 0.8055 0.1945 0.0000
Ni 0.0922 0.0922 0.3095
Ni 0.1662 0.3982 0.8528
Ni 0.2910 0.7090 0.5000
Ni 0.3982 0.1662 0.8528
Ni 0.6018 0.8338 0.1472
Ni 0.7090 0.2910 0.5000
Ni 0.8338 0.6018 0.1472
Ni 0.9078 0.9078 0.6905
Ge 0.5000 0.5000 0.5000
```

## Properties
- V: 129.9 Å³ per cell
- Fermi-level density of states: 14.5 states/eV/cell
- Formation energy: 163 meV/atom
- Calculated total energy: -5.753 eV per atom
- Space group: No. 12
- Magnetization: 0.70 μB/atom
- Energy relative to the lowest polymorph listed for this composition: 0.240 eV/atom

4.
The following is a PBE calculation of a relaxed Pm3Y8Tm2 crystal, from Alexandria. Values from VASP.

Quantum ESPRESSO input file:
```
&SYSTEM
  ibrav = 0, nat = 13, ntyp = 3
/
ATOMIC_SPECIES
Pm 145.00 Pm.upf
Y 88.91 Y.upf
Tm 168.93 Tm.upf
CELL_PARAMETERS angstrom
9.9992 -3.8688 0.0000
9.9992 3.8688 0.0000
-0.0041 0.0000 5.6861
ATOMIC_POSITIONS crystal
Pm 0.0000 0.0000 0.0000
Pm 0.2908 0.7092 0.5000
Pm 0.7092 0.2908 0.5000
Y 0.1350 0.1350 0.4997
Y 0.1820 0.6002 0.9995
Y 0.3263 0.3263 0.4987
Y 0.3998 0.8180 0.0005
Y 0.6002 0.1820 0.9995
Y 0.6737 0.6737 0.5013
Y 0.8180 0.3998 0.0005
Y 0.8650 0.8650 0.5003
Tm 0.2411 0.2411 0.9986
Tm 0.7589 0.7589 0.0014
```

## Properties
- V: 439.9 Å³ per cell
- Fermi-level density of states: 22.5 states/eV/cell
- Formation energy: 244 meV/atom
- Calculated total energy: -5.518 eV per atom
- Space group: No. 12
- Magnetization: 0.00 μB/atom
- Energy relative to the lowest polymorph listed for this composition: 0.222 eV/atom

5.
The following is a PBE calculation of a relaxed CdFeS2 crystal, from Alexandria. Values from VASP.

Quantum ESPRESSO input file:
```
&SYSTEM
  ibrav = 0, nat = 8, ntyp = 3
/
ATOMIC_SPECIES
Cd 112.41 Cd.upf
Fe 55.84 Fe.upf
S 32.06 S.upf
CELL_PARAMETERS angstrom
-2.8386 2.8386 5.5817
2.8386 -2.8386 5.5817
2.8386 2.8386 -5.5817
ATOMIC_POSITIONS crystal
Cd 0.0000 0.0000 0.0000
Cd 0.7500 0.2500 0.5000
Fe 0.2500 0.7500 0.5000
Fe 0.5000 0.5000 0.0000
S 0.1609 0.6250 0.0359
S 0.3750 0.4109 0.5359
S 0.5891 0.1250 0.9641
S 0.8750 0.8391 0.4641
```

## Properties
- V: 179.9 Å³ per cell
- Formation energy from raw total energies: -0.368 eV/atom
- Fermi-level density of states: 9.2 states/eV/cell
- Calculated total energy: -4.776 eV per atom
- Space group: No. 122
- Magnetization: 1.00 μB/atom

6.
The following is a PBE calculation of a relaxed Be2FeRh crystal, from Alexandria. Values from VASP.

Quantum ESPRESSO input file:
```
&SYSTEM
  ibrav = 0, nat = 4, ntyp = 3
/
ATOMIC_SPECIES
Be 9.01 Be.upf
Fe 55.84 Fe.upf
Rh 102.91 Rh.upf
CELL_PARAMETERS angstrom
2.7375 0.0000 0.0000
0.0000 2.7375 0.0000
0.0000 0.0000 5.4710
ATOMIC_POSITIONS crystal
Be 0.0000 0.0000 0.2423
Be 0.0000 0.0000 0.7577
Fe 0.5000 0.5000 0.5000
Rh 0.5000 0.5000 0.0000
```

## Properties
- V: 41.0 Å³ per cell
- Fermi-level density of states: 2.3 states/eV/cell
- Formation energy: -367 meV/atom
- Calculated total energy: -6.183 eV per atom
- Space group: No. 123
- Magnetization: 0.53 μB/atom

7.
The following is a PBE calculation of a relaxed AcRuBrO4 crystal, from Alexandria. Values from VASP.

Quantum ESPRESSO input file:
```
&SYSTEM
  ibrav = 0, nat = 14, ntyp = 4
/
ATOMIC_SPECIES
Ac 227.00 Ac.upf
Ru 101.07 Ru.upf
Br 79.90 Br.upf
O 16.00 O.upf
CELL_PARAMETERS angstrom
5.5427 -3.8444 0.0000
5.5427 3.8444 0.0000
-1.7544 0.0000 7.0964
ATOMIC_POSITIONS crystal
Ac 0.2299 0.2299 0.1272
Ac 0.7701 0.7701 0.8728
Ru 0.3658 0.3658 0.7313
Ru 0.6342 0.6342 0.2687
Br 0.0200 0.0200 0.7539
Br 0.9800 0.9800 0.2461
O 0.1386 0.4855 0.8647
O 0.2896 0.2896 0.4898
O 0.4712 0.4712 0.2313
O 0.4855 0.1386 0.8647
O 0.5145 0.8614 0.1353
O 0.5288 0.5288 0.7687
O 0.7104 0.7104 0.5102
O 0.8614 0.5145 0.1353
```

## Properties
- V: 302.4 Å³ per cell
- Formation energy from raw total energies: -1.686 eV/atom
- Fermi-level density of states: 0.2 states/eV/cell
- Calculated total energy: -6.670 eV per atom
- Space group: No. 12
- Magnetization: 0.29 μB/atom

8.
The following is a PBE calculation of a relaxed CdSnSN2 crystal, from Alexandria. Values from VASP.

Quantum ESPRESSO input file:
```
&SYSTEM
  ibrav = 0, nat = 5, ntyp = 4
/
ATOMIC_SPECIES
Cd 112.41 Cd.upf
Sn 118.71 Sn.upf
S 32.06 S.upf
N 14.01 N.upf
CELL_PARAMETERS angstrom
4.3017 0.0000 0.0000
0.0000 4.3017 0.0000
0.0000 0.0000 5.4645
ATOMIC_POSITIONS crystal
Cd 0.0000 0.0000 0.0000
Sn 0.5000 0.5000 0.5000
S 0.0000 0.0000 0.5000
N 0.0000 0.5000 0.0000
N 0.5000 0.0000 0.0000
```

## Properties
- V: 101.1 Å³ per cell
- Formation energy from raw total energies: 1.446 eV/atom
- Fermi-level density of states: 2.5 states/eV/cell
- Calculated total energy: -3.693 eV per atom
- Space group: No. 123
- Magnetization: 0.69 μB/atom
- Energy relative to the lowest polymorph listed for this composition: 0.389 eV/atom

9.
The following is a PBE calculation of a relaxed Nd5SnSb2 crystal, from Alexandria. Values from VASP.

Quantum ESPRESSO input file:
```
&SYSTEM
  ibrav = 0, nat = 8, ntyp = 3
/
ATOMIC_SPECIES
Nd 144.24 Nd.upf
Sn 118.71 Sn.upf
Sb 121.76 Sb.upf
CELL_PARAMETERS angstrom
5.6454 -3.7289 0.0000
5.6454 3.7289 0.0000
-4.9252 0.0000 5.6011
ATOMIC_POSITIONS crystal
Nd 0.0000 0.0000 0.0000
Nd 0.0731 0.5427 0.0739
Nd 0.0735 0.5422 0.5430
Nd 0.5422 0.0735 0.5430
Nd 0.5427 0.0731 0.0739
Sn 0.5953 0.5953 0.5956
Sb 0.0532 0.0532 0.5543
Sb 0.5531 0.5531 0.0537
```

## Properties
- V: 235.8 Å³ per cell
- Formation energy from raw total energies: -0.623 eV/atom
- Fermi-level density of states: 8.1 states/eV/cell
- Calculated total energy: -5.134 eV per atom
- Space group: No. 8
- Magnetization: 0.00 μB/atom

10.
The following is a PBE calculation of a relaxed La2PAu2 crystal, from Alexandria. Values from VASP.

Quantum ESPRESSO input file:
```
&SYSTEM
  ibrav = 0, nat = 10, ntyp = 3
/
ATOMIC_SPECIES
La 138.91 La.upf
P 30.97 P.upf
Au 196.97 Au.upf
CELL_PARAMETERS angstrom
5.5307 0.0000 0.0000
0.0000 5.5307 0.0000
0.0000 0.0000 11.5670
ATOMIC_POSITIONS crystal
La 0.2500 0.2500 0.1079
La 0.2500 0.7500 0.5000
La 0.7500 0.2500 0.5000
La 0.7500 0.7500 0.8921
P 0.2500 0.2500 0.6015
P 0.7500 0.7500 0.3985
Au 0.2500 0.2500 0.3615
Au 0.2500 0.7500 0.0000
Au 0.7500 0.2500 0.0000
Au 0.7500 0.7500 0.6385
```

## Properties
- V: 353.8 Å³ per cell
- Fermi-level density of states: 4.3 states/eV/cell
- Formation energy: -518 meV/atom
- Calculated total energy: -4.882 eV per atom
- Space group: No. 129
- Magnetization: 0.00 μB/atom
- Energy relative to the lowest polymorph listed for this composition: 0.225 eV/atom

11.
The following is a PBE calculation of a relaxed PmCoAsH crystal, from Alexandria. Values from VASP.

Quantum ESPRESSO input file:
```
&SYSTEM
  ibrav = 0, nat = 8, ntyp = 4
/
ATOMIC_SPECIES
Pm 145.00 Pm.upf
Co 58.93 Co.upf
As 74.92 As.upf
H 1.01 H.upf
CELL_PARAMETERS angstrom
3.9760 0.0000 0.0000
0.0000 3.9760 0.0000
0.0000 0.0000 7.5808
ATOMIC_POSITIONS crystal
Pm 0.2500 0.2500 0.1728
Pm 0.7500 0.7500 0.8272
Co 0.2500 0.7500 0.5000
Co 0.7500 0.2500 0.5000
As 0.2500 0.2500 0.6665
As 0.7500 0.7500 0.3335
H 0.2500 0.7500 0.0000
H 0.7500 0.2500 0.0000
```

## Properties
- V: 119.8 Å³ per cell
- Fermi-level density of states: 3.8 states/eV/cell
- Calculated total energy: -5.763 eV per atom
- Space group: No. 129
- Magnetization: 0.14 μB/atom

12.
The following is a PBE calculation of a relaxed Co5Ge2 crystal, from Alexandria. Values from VASP.

Quantum ESPRESSO input file:
```
&SYSTEM
  ibrav = 0, nat = 7, ntyp = 2
/
ATOMIC_SPECIES
Co 58.93 Co.upf
Ge 72.64 Ge.upf
CELL_PARAMETERS angstrom
3.4788 -2.0155 0.0000
3.4788 2.0155 0.0000
-2.3430 0.0000 5.8152
ATOMIC_POSITIONS crystal
Co 0.0000 0.0000 0.0000
Co 0.1482 0.1482 0.4436
Co 0.4253 0.4253 0.2754
Co 0.5747 0.5747 0.7246
Co 0.8518 0.8518 0.5564
Ge 0.2812 0.2812 0.8446
Ge 0.7188 0.7188 0.1554
```

## Properties
- V: 81.5 Å³ per cell
- Fermi-level density of states: 8.0 states/eV/cell
- Formation energy: -22 meV/atom
- Calculated total energy: -6.417 eV per atom
- Space group: No. 12
- Magnetization: 0.83 μB/atom

The highest calculated total energy belongs to which entry? CdSnSN2